No. 1
# Rb2In3AgF12

An optimized crystal structure of Rb2In3AgF12 (GGA-PBE, Alexandria via LeMat-Bulk).

Results
Formation energy (no corrections): -2.432 eV per atom

Unit cell a=7.653 b=7.653 c=7.653 alpha=63.85 beta=63.85 gamma=63.85
Fractional positions:
Rb (0.128, 0.128, 0.128)
Rb (0.872, 0.872, 0.872)
In (0.000, 0.500, 0.500)
In (0.500, 0.000, 0.500)
In (0.500, 0.500, 0.000)
Ag (0.500, 0.500, 0.500)
F (0.105, 0.616, 0.616)
F (0.205, 0.205, 0.597)
F (0.205, 0.597, 0.205)
F (0.384, 0.384, 0.895)
F (0.384, 0.895, 0.384)
F (0.403, 0.795, 0.795)
F (0.597, 0.205, 0.205)
F (0.616, 0.105, 0.616)
F (0.616, 0.616, 0.105)
F (0.795, 0.403, 0.795)
F (0.795, 0.795, 0.403)
F (0.895, 0.384, 0.384)



No. 2
# RbInAg2F6

An optimized crystal structure of RbInAg2F6 (GGA-PBE, Alexandria via LeMat-Bulk).

Results
Formation energy (no corrections): -1.982 eV per atom

Unit cell a=6.255 b=6.521 c=10.780 alpha=90.00 beta=124.71 gamma=90.00
Fractional positions:
Rb (0.000, 0.000, 0.000)
Rb (0.000, 0.500, 0.500)
In (0.500, 0.000, 0.500)
In (0.500, 0.500, 0.000)
Ag (0.229, 0.024, 0.726)
Ag (0.229, 0.476, 0.226)
Ag (0.771, 0.524, 0.774)
Ag (0.771, 0.976, 0.274)
F (0.177, 0.137, 0.479)
F (0.177, 0.363, 0.979)
F (0.251, 0.747, 0.379)
F (0.251, 0.753, 0.879)
F (0.412, 0.140, 0.297)
F (0.412, 0.360, 0.797)
F (0.588, 0.640, 0.203)
F (0.588, 0.860, 0.703)
F (0.749, 0.247, 0.121)
F (0.749, 0.253, 0.621)
F (0.823, 0.637, 0.021)
F (0.823, 0.863, 0.521)



No. 3
# InAgRhF6

An optimized crystal structure of InAgRhF6 (GGA-PBE, Alexandria via LeMat-Bulk).

Results
Formation energy (no corrections): -1.642 eV per atom

Unit cell a=5.726 b=5.726 c=10.127 alpha=90.00 beta=90.00 gamma=120.00
Fractional positions:
In (0.333, 0.667, 0.250)
In (0.667, 0.333, 0.750)
Ag (0.000, 0.000, 0.000)
Ag (0.000, 0.000, 0.500)
Rh (0.333, 0.667, 0.750)
Rh (0.667, 0.333, 0.250)
F (0.006, 0.361, 0.140)
F (0.006, 0.645, 0.360)
F (0.355, 0.361, 0.360)
F (0.355, 0.994, 0.140)
F (0.361, 0.006, 0.640)
F (0.361, 0.355, 0.860)
F (0.639, 0.645, 0.140)
F (0.639, 0.994, 0.360)
F (0.645, 0.006, 0.860)
F (0.645, 0.639, 0.640)
F (0.994, 0.355, 0.640)
F (0.994, 0.639, 0.860)